[1]
Here is a relaxed Sm2ZrSb4 crystal from Alexandria. Energies are from PBE-GGA.

```
data_Sm2ZrSb4
_chemical_formula_sum 'Sm2 Zr1 Sb4'
_cell_length_a 4.309
_cell_length_b 4.309
_cell_length_c 11.176
_cell_angle_alpha 90.00
_cell_angle_beta 90.00
_cell_angle_gamma 90.00
_space_group_name_H-M_alt 'P -4 m 2'
_space_group_IT_number 115
_space_group_name_Hall 'P -4 -2'
loop_
_atom_site_label
_atom_site_type_symbol
_atom_site_fract_x
_atom_site_fract_y
_atom_site_fract_z
Sm1 Sm 0.000 0.500 0.220
Zr1 Zr 0.000 0.000 0.500
Sb1 Sb 0.000 0.000 0.000
Sb2 Sb 0.000 0.500 0.671
Sb3 Sb 0.500 0.500 0.000
```

**Formation energy from raw total energies**: -702 meV per atom
**VASP energy**: -5.627 eV per atom
**DOS at the Fermi energy**: 2.42 states/eV/cell

[2]
Here is a relaxed Sm3ZrSb4 crystal from Alexandria. Energies are from PBE-GGA.

```
data_Sm3ZrSb4
_chemical_formula_sum 'Sm6 Zr2 Sb8'
_cell_length_a 8.772
_cell_length_b 12.370
_cell_length_c 4.378
_cell_angle_alpha 90.00
_cell_angle_beta 90.00
_cell_angle_gamma 90.00
_space_group_name_H-M_alt 'C m m m'
_space_group_IT_number 65
_space_group_name_Hall '-C 2 2'
loop_
_atom_site_label
_atom_site_type_symbol
_atom_site_fract_x
_atom_site_fract_y
_atom_site_fract_z
Sm1 Sm 0.000 0.000 0.000
Sm2 Sm 0.250 0.250 0.500
Zr1 Zr 0.000 0.500 0.000
Sb1 Sb 0.000 0.257 0.000
Sb2 Sb 0.236 0.500 0.500
```

**Formation energy from raw total energies**: -1018 meV per atom
**VASP energy**: -5.918 eV per atom
**DOS at the Fermi energy**: 3.15 states/eV/cell

[3]
Here is a relaxed SmZrSb crystal from Alexandria. Energies are from PBE-GGA.

```
data_SmZrSb
_chemical_formula_sum 'Sm2 Zr2 Sb2'
_cell_length_a 4.364
_cell_length_b 4.364
_cell_length_c 8.364
_cell_angle_alpha 90.00
_cell_angle_beta 90.00
_cell_angle_gamma 90.00
_space_group_name_H-M_alt 'P 4/n m m'
_space_group_IT_number 129
loop_
_space_group_symop_operation_xyz
'x,y,z'
'-x,-y,-z'
'-y+1/2,x,z'
'y+1/2,-x,-z'
'-x+1/2,-y+1/2,z'
'x+1/2,y+1/2,-z'
'y,-x+1/2,z'
'-y,x+1/2,-z'
'x+1/2,-y,-z'
'-x+1/2,y,z'
'-y,-x,-z'
'y,x,z'
'-x,y+1/2,-z'
'x,-y+1/2,z'
'y+1/2,x+1/2,-z'
'-y+1/2,-x+1/2,z'
loop_
_atom_site_label
_atom_site_type_symbol
_atom_site_fract_x
_atom_site_fract_y
_atom_site_fract_z
Sm1 Sm 0.250 0.250 0.147
Zr1 Zr 0.250 0.750 0.500
Sb1 Sb 0.250 0.250 0.757
```

**Formation energy from raw total energies**: -825 meV per atom
**VASP energy**: -6.621 eV per atom
**DOS at the Fermi energy**: 5.90 states/eV/cell

[4]
Here is a relaxed Sm3Zr2Sb3 crystal from Alexandria. Energies are from PBE-GGA.

```
data_Sm3Zr2Sb3
_chemical_formula_sum 'Sm6 Zr4 Sb6'
_cell_length_a 8.9332
_cell_length_b 8.9332
_cell_length_c 6.0967
_cell_angle_alpha 90.00
_cell_angle_beta 90.00
_cell_angle_gamma 120.00
_space_group_name_H-M_alt 'P 63/m c m'
_space_group_IT_number 193
_space_group_name_Hall '-P 6c 2'
loop_
_atom_site_label
_atom_site_type_symbol
_atom_site_fract_x
_atom_site_fract_y
_atom_site_fract_z
Sm1 Sm 0.0000 0.2509 0.2500
Zr1 Zr 0.3333 0.6667 0.0000
Sb1 Sb 0.0000 0.3957 0.7500
```

**Formation energy from raw total energies**: -887 meV per atom
**VASP energy**: -6.339 eV per atom
**DOS at the Fermi energy**: 7.47 states/eV/cell

What is the DOS at the Fermi energy in the fourth record? 7.47 states/eV/cell

Which of these has the lowest DOS at the Fermi energy? Sm2ZrSb4

Among the records above, which one has the lowest formation energy from raw total energies? Sm3ZrSb4